Entry 1:
! NiGeN PBE optimized geometry; values from VASP
! formation energy (no corrections)	0.101	eV per atom
! magnetic moment	0.00	μB per cell
&SYSTEM
  ibrav = 0, nat = 6, ntyp = 3
/
ATOMIC_SPECIES
Ni 58.69 Ni.upf
Ge 72.64 Ge.upf
N 14.01 N.upf
CELL_PARAMETERS angstrom
-0.145 -0.716 2.718
-2.386 -2.350 -2.204
7.935 -7.338 -1.509
ATOMIC_POSITIONS crystal
Ni 0.862 0.723 0.435
Ni 0.138 0.277 0.565
Ge 0.851 0.701 0.659
N 0.546 0.093 0.959
N 0.454 0.907 0.041
Ge 0.149 0.299 0.341

Entry 2:
! NiGeN3 PBE optimized geometry; values from VASP
! formation energy (no corrections)	1.739	eV per atom
! magnetic moment	0.00	μB per cell
&SYSTEM
  ibrav = 0, nat = 5, ntyp = 3
/
ATOMIC_SPECIES
N 14.01 N.upf
Ni 58.69 Ni.upf
Ge 72.64 Ge.upf
CELL_PARAMETERS angstrom
3.741 0.000 0.000
0.000 3.741 0.000
0.000 0.000 3.741
ATOMIC_POSITIONS crystal
N 0.000 0.500 0.000
N 0.000 0.000 0.500
Ni 0.500 0.500 0.500
Ge 0.000 0.000 0.000
N 0.500 0.000 0.000

Entry 3:
! NiGeN3 PBE optimized geometry; values from VASP
! formation energy (no corrections)	1.667	eV per atom
! magnetic moment	0.00	μB per cell
&SYSTEM
  ibrav = 0, nat = 5, ntyp = 3
/
ATOMIC_SPECIES
N 14.01 N.upf
Ge 72.64 Ge.upf
Ni 58.69 Ni.upf
CELL_PARAMETERS angstrom
-0.653 -1.335 -3.395
3.383 -1.513 -0.056
-1.365 -3.109 1.486
ATOMIC_POSITIONS crystal
N 0.500 0.000 0.000
N 0.000 0.500 0.000
Ge 0.500 0.500 0.500
N 0.000 0.000 0.500
Ni 0.000 0.000 0.000

Entry 4:
! PaNi2GeN PBE optimized geometry; values from VASP
! formation energy (no corrections)	-0.815	eV per atom
! magnetic moment	0.00	μB per cell
&SYSTEM
  ibrav = 0, nat = 10, ntyp = 4
/
ATOMIC_SPECIES
Ge 72.64 Ge.upf
N 14.01 N.upf
Pa 231.04 Pa.upf
Ni 58.69 Ni.upf
CELL_PARAMETERS angstrom
-2.687 -2.010 -0.036
1.524 0.870 -5.859
4.160 -5.565 0.255
ATOMIC_POSITIONS crystal
Ge 0.255 0.510 0.250
N 0.000 0.000 0.000
Pa 0.524 0.047 0.250
Ni 0.165 0.330 0.946
Pa 0.476 0.953 0.750
N 0.000 0.000 0.500
Ni 0.835 0.670 0.054
Ni 0.165 0.330 0.554
Ge 0.745 0.490 0.750
Ni 0.835 0.670 0.446

Entry 5:
! PmNiGeN PBE optimized geometry; values from VASP
! formation energy (no corrections)	-0.841	eV per atom
! magnetic moment	0.00	μB per cell
&SYSTEM
  ibrav = 0, nat = 8, ntyp = 4
/
ATOMIC_SPECIES
Ni 58.69 Ni.upf
Pm 145.00 Pm.upf
Ge 72.64 Ge.upf
N 14.01 N.upf
CELL_PARAMETERS angstrom
-2.666 -2.613 -0.402
1.780 -1.351 -3.017
4.543 -5.422 5.108
ATOMIC_POSITIONS crystal
Ni 0.000 0.000 0.500
Pm 0.000 0.500 0.852
Ge 0.000 0.500 0.341
N 0.500 0.000 0.879
Pm 0.500 0.000 0.148
Ge 0.500 0.000 0.659
Ni 0.500 0.500 0.500
N 0.000 0.500 0.121

Entry 6:
! PrNiGeN PBE optimized geometry; values from VASP
! formation energy (no corrections)	-0.812	eV per atom
! magnetic moment	0.00	μB per cell
&SYSTEM
  ibrav = 0, nat = 8, ntyp = 4
/
ATOMIC_SPECIES
Pr 140.91 Pr.upf
N 14.01 N.upf
Ni 58.69 Ni.upf
Ge 72.64 Ge.upf
CELL_PARAMETERS angstrom
3.814 0.000 0.000
0.000 3.814 0.000
0.000 0.000 8.727
ATOMIC_POSITIONS crystal
Pr 0.500 0.000 0.151
N 0.500 0.000 0.876
Pr 0.000 0.500 0.849
Ni 0.000 0.000 0.500
N 0.000 0.500 0.124
Ge 0.000 0.500 0.344
Ge 0.500 0.000 0.656
Ni 0.500 0.500 0.500

Entry 7:
! PuNi2GeN PBE optimized geometry; values from VASP
! formation energy (no corrections)	-0.643	eV per atom
! magnetic moment	8.94	μB per cell
&SYSTEM
  ibrav = 0, nat = 10, ntyp = 4
/
ATOMIC_SPECIES
Pu 244.00 Pu.upf
Ni 58.69 Ni.upf
N 14.01 N.upf
Ge 72.64 Ge.upf
CELL_PARAMETERS angstrom
-2.013 2.747 -0.289
-2.134 -3.205 4.609
4.130 3.485 4.335
ATOMIC_POSITIONS crystal
Pu 0.472 0.945 0.750
Ni 0.835 0.671 0.051
N 0.000 0.000 0.000
Ni 0.835 0.671 0.449
Ge 0.260 0.520 0.250
Ni 0.165 0.329 0.949
Ge 0.740 0.480 0.750
N 0.000 0.000 0.500
Ni 0.165 0.329 0.551
Pu 0.528 0.055 0.250

Entry 8:
! NiGeSN2 PBE optimized geometry; values from VASP
! formation energy (no corrections)	1.109	eV per atom
! offset from the most stable computed form	0.0	meV/atom
! magnetic moment	3.16	μB per cell
&SYSTEM
  ibrav = 0, nat = 5, ntyp = 4
/
ATOMIC_SPECIES
Ge 72.64 Ge.upf
Ni 58.69 Ni.upf
N 14.01 N.upf
S 32.06 S.upf
CELL_PARAMETERS angstrom
3.724 0.000 0.000
0.000 3.724 0.000
0.000 0.000 4.923
ATOMIC_POSITIONS crystal
Ge 0.500 0.500 0.500
Ni 0.000 0.000 0.000
N 0.500 0.000 0.000
S 0.000 0.000 0.500
N 0.000 0.500 0.000

Question: Which value of formation energy (no corrections) does entry 6 give?
Answer: -0.812 eV per atom

Question: The highest magnetic moment belongs to which entry?
Answer: PuNi2GeN

Question: Which of these has the highest magnetic moment?
Answer: PuNi2GeN